Compound: HoEr3Mg4
Source: the Alexandria database
Functional: GGA-PBE
Structure: relaxed

Properties
* polymorph energy (0 for the lowest one): 0.0000 eV per atom
* DFT formation energy: -0.07 eV per atom
* symmetry: No. 123

Cell: 3.7651 3.7651 15.0884 Å, 90.00 90.00 90.00°
Closest atoms and distances in Å follow each position.
Fractional coordinates of all 8 atoms:
Er (0.5000, 0.5000, 0.2503)  8 Mg 3.26
Er (0.5000, 0.5000, 0.7497)  8 Mg 3.26
Er (0.5000, 0.5000, 0.5000)  8 Mg 3.26
Mg (0.0000, 0.0000, 0.8745)  4 Er 3.26, 4 Ho 3.27
Mg (0.0000, 0.0000, 0.3751)  8 Er 3.26
Mg (0.0000, 0.0000, 0.1255)  4 Er 3.26, 4 Ho 3.27
Mg (0.0000, 0.0000, 0.6249)  8 Er 3.26
Ho (0.5000, 0.5000, 0.0000)  8 Mg 3.27

***

Compound: Ho2Er5Mg
Source: the Alexandria database
Functional: GGA-PBE
Structure: relaxed

Properties
* polymorph energy (0 for the lowest one): 0.0333 eV per atom
* DFT formation energy: 0.06 eV per atom
* symmetry: No. 2

Cell: 9.2401 8.5290 18.4191 Å, 82.43 107.66 157.59°
Closest atoms and distances in Å follow each position.
Fractional coordinates of all 16 atoms:
Mg (0.6235, 0.1844, 0.7479)  9 Er 3.13-3.41
Mg (0.3765, 0.8156, 0.2521)  9 Er 3.13-3.41
Er (0.5288, 0.0585, 0.9109)  2 Mg 3.15, 6 Er 3.35-3.52, 3 Ho 3.47-3.48
Er (0.7396, 0.2528, 0.5935)  3 Er 3.07-3.38, 2 Mg 3.13-3.14
Er (0.8826, 0.7564, 0.6520)  6 Er 3.35-3.61, 2 Mg 3.37-3.39, 4 Ho 3.51-3.70
Er (0.1319, 0.2513, 0.1546)  1 Mg 3.35, 3 Ho 3.36-3.58, 8 Er 3.47-3.61
Er (0.8681, 0.7487, 0.8454)  1 Mg 3.35, 3 Ho 3.36-3.58, 8 Er 3.47-3.61
Er (0.1174, 0.2436, 0.3480)  6 Er 3.35-3.61, 2 Mg 3.37-3.39, 4 Ho 3.51-3.70
Er (0.1421, 0.3593, 0.7572)  6 Er 3.38-3.60, 2 Mg 3.40-3.41, 2 Ho 3.70
Er (0.8579, 0.6407, 0.2428)  6 Er 3.38-3.60, 2 Mg 3.40-3.41, 2 Ho 3.70
Er (0.2604, 0.7472, 0.4065)  3 Er 3.07-3.38, 2 Mg 3.13-3.14
Er (0.4712, 0.9415, 0.0891)  2 Mg 3.15, 6 Er 3.35-3.52, 3 Ho 3.47-3.48
Ho (0.0992, 0.2934, 0.5402)  8 Er 3.45-3.70, 3 Ho 3.52-3.74
Ho (0.1479, 0.3256, 0.9602)  8 Er 3.36-3.70, 4 Ho 3.52-3.59
Ho (0.8521, 0.6744, 0.0398)  8 Er 3.36-3.70, 4 Ho 3.52-3.59
Ho (0.9008, 0.7066, 0.4598)  8 Er 3.45-3.70, 3 Ho 3.52-3.74

***

Let's list DOS at the Fermi energy in order: 10.36 12.39 states/eV/f.u..